A relaxed CsAl2S crystal. Source: Alexandria, functional GGA-PBE.

Lattice parameters (Å, degrees): 8.4625 8.4625 6.8057 90.00 90.00 90.00
Positions (direct):
Cs 0.0000 0.0000 0.0000
Cs 0.0000 0.5000 0.2500
Cs 0.5000 0.0000 0.7500
Cs 0.5000 0.5000 0.5000
Al 0.1668 0.7500 0.6250
Al 0.2500 0.1668 0.3750
Al 0.2500 0.3332 0.8750
Al 0.3332 0.7500 0.1250
Al 0.6668 0.2500 0.1250
Al 0.7500 0.6668 0.8750
Al 0.7500 0.8332 0.3750
Al 0.8332 0.2500 0.6250
S 0.0000 0.0000 0.5000
S 0.0000 0.5000 0.7500
S 0.5000 0.0000 0.2500
S 0.5000 0.5000 0.0000

Computed properties:
DOS at the Fermi energy: 2.43 states/eV/f.u.
Crystal system: tetragonal

A relaxed CsAlS2 crystal. Source: Alexandria, functional GGA-PBE.

Lattice parameters (Å, degrees): 5.4597 5.4597 22.7736 90.00 90.00 120.00
Positions (direct):
Cs 0.0000 0.0000 0.0000
Cs 0.3333 0.6667 0.6667
Cs 0.6667 0.3333 0.3333
Al 0.0000 0.0000 0.5000
Al 0.3333 0.6667 0.1667
Al 0.6667 0.3333 0.8333
S 0.0000 0.0000 0.4094
S 0.0000 0.0000 0.5906
S 0.3333 0.6667 0.0760
S 0.3333 0.6667 0.2573
S 0.6667 0.3333 0.7427
S 0.6667 0.3333 0.9240

Computed properties:
DOS at the Fermi energy: 0.00 states/eV/f.u.
Crystal system: trigonal

A relaxed CsAl2SbS6 crystal. Source: Alexandria, functional GGA-PBE.

Lattice parameters (Å, degrees): 9.4594 9.4594 7.3112 105.44 105.44 98.82
Positions (direct):
Cs 0.1487 0.8513 0.7500
Cs 0.8513 0.1487 0.2500
Al 0.1845 0.3262 0.8763
Al 0.3262 0.1845 0.3763
Al 0.6738 0.8155 0.6237
Al 0.8155 0.6738 0.1237
Sb 0.2876 0.7124 0.2500
Sb 0.7124 0.2876 0.7500
S 0.0441 0.6162 0.2643
S 0.1669 0.2260 0.1158
S 0.2260 0.1669 0.6158
S 0.3299 0.5647 0.9570
S 0.3838 0.9559 0.2357
S 0.4353 0.6701 0.5430
S 0.5647 0.3299 0.4570
S 0.6162 0.0441 0.7643
S 0.6701 0.4353 0.0430
S 0.7740 0.8331 0.3842
S 0.8331 0.7740 0.8842
S 0.9559 0.3838 0.7357

Computed properties:
Crystal system: monoclinic

A relaxed Cs3Sc3AlS8 crystal. Source: Alexandria, functional GGA-PBE.

Lattice parameters (Å, degrees): 7.5368 7.5410 9.2500 66.00 65.97 60.04
Positions (direct):
Cs 0.0000 0.0000 0.0000
Cs 0.0000 0.5000 0.0000
Cs 0.5000 0.0000 0.0000
Sc 0.0000 0.5000 0.5000
Sc 0.5000 0.0000 0.5000
Sc 0.5000 0.5000 0.5000
Al 0.0000 0.0000 0.5000
S 0.2153 0.2153 0.3331
S 0.2156 0.7358 0.3330
S 0.2638 0.7847 0.6669
S 0.2753 0.2754 0.6739
S 0.7247 0.7246 0.3261
S 0.7362 0.2153 0.3331
S 0.7844 0.2642 0.6670
S 0.7847 0.7847 0.6669

Computed properties:
DOS at the Fermi energy: 9.22 states/eV/f.u.
Crystal system: triclinic

A relaxed CsScAlS4 crystal. Source: Alexandria, functional GGA-PBE.

Lattice parameters (Å, degrees): 6.5618 6.0901 9.6465 90.00 108.41 90.00
Positions (direct):
Cs 0.2435 0.2500 0.4508
Cs 0.7565 0.7500 0.5492
Sc 0.2801 0.2500 0.9476
Sc 0.7199 0.7500 0.0524
Al 0.2423 0.7500 0.1506
Al 0.7577 0.2500 0.8494
S 0.0148 0.7500 0.9243
S 0.0417 0.7500 0.2959
S 0.4949 0.5084 0.8192
S 0.4949 0.9916 0.8192
S 0.5051 0.0084 0.1808
S 0.5051 0.4916 0.1808
S 0.9583 0.2500 0.7041
S 0.9852 0.2500 0.0757

Computed properties:
DOS at the Fermi energy: 2.02 states/eV/f.u.
Crystal system: monoclinic

A relaxed Cs2AlSiS4 crystal. Source: Alexandria, functional GGA-PBE.

Lattice parameters (Å, degrees): 14.4531 12.8801 7.7726 85.01 62.60 32.39
Positions (direct):
Cs 0.0510 0.0510 0.6990
Cs 0.3010 0.3010 0.9490
Cs 0.6990 0.6990 0.0510
Cs 0.9490 0.9490 0.3010
Al 0.1250 0.1250 0.1250
Al 0.8750 0.8750 0.8750
Si 0.3750 0.3750 0.3750
Si 0.6250 0.6250 0.6250
S 0.0133 0.3331 0.4096
S 0.2560 0.5904 0.6669
S 0.3331 0.0133 0.7440
S 0.4096 0.7440 0.0133
S 0.5904 0.2560 0.9867
S 0.6669 0.9867 0.2560
S 0.7440 0.4096 0.3331
S 0.9867 0.6669 0.5904

Computed properties:
DOS at the Fermi energy: 4.98 states/eV/f.u.
Crystal system: orthorhombic

A relaxed Cs4Sm3AlS8 crystal. Source: Alexandria, functional GGA-PBE.

Lattice parameters (Å, degrees): 9.3434 9.3434 9.3434 51.94 51.94 51.94
Positions (direct):
Cs 0.0000 0.0000 0.0000
Cs 0.0000 0.5000 0.5000
Cs 0.5000 0.0000 0.5000
Cs 0.5000 0.5000 0.0000
Sm 0.0000 0.0000 0.5000
Sm 0.0000 0.5000 0.0000
Sm 0.5000 0.0000 0.0000
Al 0.5000 0.5000 0.5000
S 0.2292 0.2292 0.2292
S 0.2524 0.7116 0.7116
S 0.2884 0.2884 0.7476
S 0.2884 0.7476 0.2884
S 0.7116 0.2524 0.7116
S 0.7116 0.7116 0.2524
S 0.7476 0.2884 0.2884
S 0.7708 0.7708 0.7708

Computed properties:
Crystal system: trigonal

A relaxed CsAlSnS4 crystal. Source: Alexandria, functional GGA-PBE.

Lattice parameters (Å, degrees): 6.1960 7.9652 9.7564 90.00 105.62 90.00
Positions (direct):
Cs 0.2106 0.2500 0.3759
Cs 0.7894 0.7500 0.6241
Al 0.3430 0.7500 0.2014
Al 0.6570 0.2500 0.7986
Sn 0.1645 0.2500 0.8087
Sn 0.8355 0.7500 0.1913
S 0.0337 0.7500 0.0114
S 0.1797 0.7500 0.3866
S 0.4189 0.0283 0.7853
S 0.4189 0.4717 0.7853
S 0.5811 0.5283 0.2147
S 0.5811 0.9717 0.2147
S 0.8203 0.2500 0.6134
S 0.9663 0.2500 0.9886

Computed properties:
DOS at the Fermi energy: 0.00 states/eV/f.u.
Crystal system: monoclinic

The evaluated energy relative to the elements, uncorrected for the records listed, in turn: 90; -774; -733; -1472; -1260; -987; -1573; -892 meV per atom.
The evaluated mass density for the records listed, in turn: 2.98; 1.90; 2.82; 3.37; 3.02; 2.80; 4.50; 2.91 g/cm3.
The evaluated magnetic moment for the records listed, in turn: 0.000; 0.000; 0.000; 0.000; 0.000; 0.002; 0.000; 0.000 μB/f.u..